Entry from Alexandria via LeMat-Bulk: a relaxed AgTeH crystal (PBE).

- calculated volume (Å³/cell) = 112.1
- distance to the lowest polymorph of the same formula (meV per atom) = 274.9
- magnetic moment (μB per cell) = 0.000

Cell: 5.3216 4.0041 5.3293 Å, 90.00 99.13 90.00°
Space group P2_1/m (No. 11)
One atom of each set of equivalent atoms:
Ag 0.1860 0.2500 0.1409 x2
Te 0.2828 0.7500 0.6870 x2
H 0.3078 0.2500 0.7225 x2